Entry 1:
# SmHoZr

Crystalline SmHoZr at its relaxed geometry (PBE, the Alexandria database).

Cell lengths 3.843, 3.843, 12.006 Å; angles 90.00, 90.00, 90.00 degrees
Atoms (fractional coordinates):
Sm (0.500, 0.000, 0.784)
Sm (0.000, 0.500, 0.216)
Zr (0.000, 0.500, 0.947)
Zr (0.500, 0.000, 0.053)
Ho (0.000, 0.500, 0.590)
Ho (0.500, 0.000, 0.410)

Results
D(E_F): 1.43 states/eV/atom
Relative energy among the computed polymorphs: 16.9 meV/atom
Volume: 29.55 Å³/atom
Total energy: -5.8398 eV/atom



Entry 2:
# Ta2CoH3

Crystalline Ta2CoH3 at its relaxed geometry (PBE, the Alexandria database).

Cell lengths 4.237, 5.678, 5.109 Å; angles 106.11, 114.50, 90.00 degrees
Site moments in Bohr magnetons follow the coordinates.
Atoms (fractional coordinates):
Co (0.015, 0.750, 0.000)  0.97
Co (0.985, 0.250, 0.000)  0.97
Ta (0.660, 0.081, 0.325)  0.09
Ta (0.665, 0.581, 0.325)  0.09
Ta (0.335, 0.419, 0.675)  0.09
Ta (0.340, 0.919, 0.675)  0.09
H (0.386, 0.250, 0.000)  0.00
H (0.826, 0.415, 0.661)  0.00
H (0.835, 0.915, 0.661)  0.00
H (0.174, 0.585, 0.339)  0.00
H (0.165, 0.085, 0.339)  0.00
H (0.614, 0.750, 0.000)  0.00

Results
D(E_F): 0.56 states/eV/atom
Volume: 8.88 Å³/atom
Total energy: -6.8480 eV/atom



Entry 3:
# BiPIr2

Crystalline BiPIr2 at its relaxed geometry (PBE, the Alexandria database).

Cell lengths 4.614, 4.614, 4.614 Å; angles 60.00, 60.00, 60.00 degrees
Atoms (fractional coordinates):
Ir (0.750, 0.750, 0.750)
Ir (0.250, 0.250, 0.250)
P (0.000, 0.000, 0.000)
Bi (0.500, 0.500, 0.500)

Results
D(E_F): 1.14 states/eV/atom
Volume: 17.36 Å³/atom
Total energy: -6.1594 eV/atom



Entry 4:
# Tb2ErTm5

Crystalline Tb2ErTm5 at its relaxed geometry (PBE, the Alexandria database).

Cell lengths 7.001, 7.000, 6.996 Å; angles 120.00, 120.00, 90.01 degrees
Atoms (fractional coordinates):
Tb (0.722, 0.222, 0.444)
Tb (0.222, 0.722, 0.444)
Tm (0.722, 0.722, 0.944)
Tm (0.722, 0.722, 0.444)
Tm (0.222, 0.722, 0.944)
Tm (0.722, 0.222, 0.944)
Tm (0.222, 0.222, 0.944)
Er (0.222, 0.222, 0.444)

Results
D(E_F): 1.43 states/eV/atom
Relative energy among the computed polymorphs: 0.0 meV/atom
Volume: 30.30 Å³/atom
Total energy: -4.4984 eV/atom



Entry 5:
# TbSm2HoSc4

Crystalline TbSm2HoSc4 at its relaxed geometry (PBE, the Alexandria database).

Cell lengths 3.440, 5.960, 11.171 Å; angles 79.86, 90.00, 90.00 degrees
Atoms (fractional coordinates):
Sc (0.500, 0.749, 0.250)
Sc (0.000, 0.251, 0.249)
Sc (0.500, 0.251, 0.750)
Sc (0.000, 0.749, 0.751)
Tb (0.000, 0.500, 0.500)
Ho (0.500, 0.500, 0.000)
Sm (0.000, 0.000, 0.000)
Sm (0.500, 0.000, 0.500)

Results
D(E_F): 1.35 states/eV/atom
Volume: 28.18 Å³/atom
Total energy: -5.4358 eV/atom



Entry 6:
# Tb3Cu3Ir

Crystalline Tb3Cu3Ir at its relaxed geometry (PBE, the Alexandria database).

Cell lengths 3.922, 5.399, 14.297 Å; angles 90.00, 90.00, 111.30 degrees
Atoms (fractional coordinates):
Ir (0.500, 0.000, 0.500)
Ir (0.500, 0.000, 0.000)
Tb (0.449, 0.898, 0.750)
Tb (0.165, 0.330, 0.909)
Tb (0.835, 0.670, 0.409)
Tb (0.551, 0.102, 0.250)
Tb (0.835, 0.670, 0.091)
Tb (0.165, 0.330, 0.591)
Cu (0.115, 0.229, 0.395)
Cu (0.885, 0.771, 0.605)
Cu (0.259, 0.519, 0.250)
Cu (0.115, 0.229, 0.105)
Cu (0.885, 0.771, 0.895)
Cu (0.741, 0.481, 0.750)

Results
D(E_F): 0.58 states/eV/atom
Volume: 20.15 Å³/atom
Total energy: -5.3899 eV/atom



Entry 7:
# K2TcH

Crystalline K2TcH at its relaxed geometry (PBE, the Alexandria database).

Cell lengths 11.813, 11.813, 8.540 Å; angles 46.24, 46.24, 90.00 degrees
Site moments in Bohr magnetons follow the coordinates.
Atoms (fractional coordinates):
K (0.375, 0.558, 0.750)  -0.01
K (0.308, 0.625, 0.250)  -0.01
K (0.442, 0.125, 0.250)  -0.01
K (0.875, 0.692, 0.750)  -0.01
H (0.500, 0.500, 0.000)  -0.02
H (0.250, 0.750, 0.500)  -0.02
Tc (0.000, 0.000, 0.000)  2.24
Tc (0.750, 0.250, 0.500)  2.24

Results
D(E_F): 0.85 states/eV/atom
Relative energy among the computed polymorphs: 0.0 meV/atom
Volume: 31.01 Å³/atom
Total energy: -3.1421 eV/atom



Entry 8:
# Tb2YTc

Crystalline Tb2YTc at its relaxed geometry (PBE, the Alexandria database).

Cell lengths 3.939, 6.274, 9.189 Å; angles 90.00, 90.00, 108.32 degrees
Atoms (fractional coordinates):
Tc (0.741, 0.481, 0.750)
Tc (0.259, 0.519, 0.250)
Tb (0.356, 0.712, 0.934)
Tb (0.644, 0.288, 0.066)
Tb (0.356, 0.712, 0.566)
Tb (0.644, 0.288, 0.434)
Y (0.073, 0.145, 0.750)
Y (0.927, 0.855, 0.250)

Results
D(E_F): 0.87 states/eV/atom
Relative energy among the computed polymorphs: 2.6 meV/atom
Volume: 26.95 Å³/atom
Total energy: -6.6068 eV/atom